(1)
VASP calculation (GGA-PBE) on a relaxed Tm2Fe17C3 crystal.

Its space group is R-3m (166). As for the calculated volume: 12.1 Å³ per atom. The calculation puts the calculated total energy at -8.293 eV per atom. The crystal system is trigonal. The calculation puts the formation enthalpy at 0 K at -0.090 eV/atom.

Cell lengths 6.475, 6.475, 6.475 Å; angles 83.00, 83.00, 83.00 degrees
Element x y z (fractional)
1 Tm 0.158 0.158 0.158
2 Tm 0.842 0.842 0.842
3 Fe 0.000 0.500 0.500
4 Fe 0.156 0.156 0.646
5 Fe 0.156 0.646 0.156
6 Fe 0.216 0.500 0.784
7 Fe 0.216 0.784 0.500
8 Fe 0.354 0.844 0.844
9 Fe 0.404 0.404 0.404
10 Fe 0.500 0.000 0.500
11 Fe 0.500 0.216 0.784
12 Fe 0.500 0.500 0.000
13 Fe 0.500 0.784 0.216
14 Fe 0.596 0.596 0.596
15 Fe 0.646 0.156 0.156
16 Fe 0.784 0.216 0.500
17 Fe 0.784 0.500 0.216
18 Fe 0.844 0.354 0.844
19 Fe 0.844 0.844 0.354
20 C 0.000 0.000 0.500
21 C 0.000 0.500 0.000
22 C 0.500 0.000 0.000

(2)
VASP calculation (GGA-PBE) on a relaxed TmU2FeC4 crystal.

Its space group is Cmcm (63). As for the calculated volume: 13.9 Å³ per atom. The calculation puts the calculated total energy at -9.127 eV per atom. The crystal system is orthorhombic. The calculation puts the formation enthalpy at 0 K at -0.076 eV/atom.

Cell lengths 5.804, 5.804, 11.493 Å; angles 90.00, 90.00, 145.01 degrees
Element x y z (fractional)
1 Tm 0.106 0.894 0.750
2 Tm 0.894 0.106 0.250
3 U 0.369 0.631 0.551
4 U 0.369 0.631 0.949
5 U 0.631 0.369 0.051
6 U 0.631 0.369 0.449
7 Fe 0.158 0.842 0.250
8 Fe 0.842 0.158 0.750
9 C 0.000 0.000 0.000
10 C 0.000 0.000 0.500
11 C 0.261 0.739 0.124
12 C 0.261 0.739 0.376
13 C 0.434 0.566 0.750
14 C 0.566 0.434 0.250
15 C 0.739 0.261 0.624
16 C 0.739 0.261 0.876

(3)
VASP calculation (GGA-PBE) on a relaxed TmZnFeC crystal.

Its space group is P4/nmm (129). As for the calculated volume: 14.6 Å³ per atom. The calculation puts the calculated total energy at -6.001 eV per atom. The crystal system is tetragonal. The calculation puts the formation enthalpy at 0 K at -0.143 eV/atom.

Cell lengths 3.442, 3.442, 9.884 Å; angles 90.00, 90.00, 90.00 degrees
Element x y z (fractional)
1 Tm 0.250 0.250 0.226
2 Tm 0.750 0.750 0.774
3 Zn 0.250 0.750 0.500
4 Zn 0.750 0.250 0.500
5 Fe 0.250 0.750 0.000
6 Fe 0.750 0.250 0.000
7 C 0.250 0.250 0.900
8 C 0.750 0.750 0.100

(4)
VASP calculation (GGA-PBE) on a relaxed Tm2ZnFeC crystal.

Its space group is P4/mmm (123). As for the calculated volume: 17.3 Å³ per atom. The calculation puts the calculated total energy at -5.954 eV per atom. The crystal system is tetragonal. The calculation puts the formation enthalpy at 0 K at -0.373 eV/atom.

Cell lengths 4.861, 4.861, 3.659 Å; angles 90.00, 90.00, 90.00 degrees
Element x y z (fractional)
1 Tm 0.000 0.500 0.000
2 Tm 0.500 0.000 0.000
3 Zn 0.000 0.000 0.500
4 Fe 0.500 0.500 0.500
5 C 0.500 0.500 0.000

Record-wise total magnetic moment values, in μB per atom: 1.557; 0.000; 0.000; 0.000